No. 1
# BaP2PtO8 | Alexandria | GGA-PBE | optimized geometry
# Volume ... 520 Å³/cell
# Size of the total moment ... 0.000 μB/atom
# VASP energy ... -6.748 eV per atom
data_BaP2PtO8
_chemical_formula_sum 'Ba3 P6 Pt3 O24'
_symmetry_space_group_name_H-M 'R 3 2'
_symmetry_Int_Tables_number 155
_symmetry_space_group_name_Hall 'R 3 2"'
_cell_length_a 5.0247
_cell_length_b 5.0247
_cell_length_c 23.7635
_cell_angle_alpha 90.00
_cell_angle_beta 90.00
_cell_angle_gamma 120.00
loop_
_atom_site_label
_atom_site_fract_x
_atom_site_fract_y
_atom_site_fract_z
Ba1 0.0000 0.0000 0.0000
P1 0.0000 0.0000 0.2417
Pt1 0.0000 0.0000 0.5000
O1 0.0000 0.0000 0.3063
O2 0.0048 0.4215 0.8897


No. 2
# VNi2H | Alexandria | GGA-PBE | optimized geometry
# Volume ... 164 Å³/cell
# Size of the total moment ... 0.495 μB/atom
# VASP energy ... -5.843 eV per atom
data_VNi2H
_chemical_formula_sum 'V4 Ni8 H4'
_symmetry_space_group_name_H-M 'I -4 2 d'
_symmetry_Int_Tables_number 122
_symmetry_space_group_name_Hall 'I -4 2bw'
_cell_length_a 4.989
_cell_length_b 4.989
_cell_length_c 6.583
_cell_angle_alpha 90.00
_cell_angle_beta 90.00
_cell_angle_gamma 90.00
loop_
_atom_site_label
_atom_site_fract_x
_atom_site_fract_y
_atom_site_fract_z
V1 0.000 0.000 0.000
Ni1 0.085 0.250 0.625
H1 0.000 0.000 0.500